Entry 1:
A plane-wave DFT calculation with PBE-GGA was carried out for crystalline Sc2TaSn at its relaxed geometry.

Structure (CIF):
```
data_Sc2TaSn
_cell_length_a 6.9127
_cell_length_b 6.9127
_cell_length_c 6.9127
_cell_angle_alpha 90.00
_cell_angle_beta 90.00
_cell_angle_gamma 90.00
_space_group_name_H-M_alt 'F -4 3 m'
_space_group_IT_number 216
_space_group_name_Hall 'F -4 2 3'
loop_
_atom_site_label
_atom_site_type_symbol
_atom_site_fract_x
_atom_site_fract_y
_atom_site_fract_z
Sc1 Sc 0.0000 0.0000 0.0000
Sc2 Sc 0.2500 0.2500 0.2500
Ta1 Ta 0.2500 0.2500 0.7500
Sn1 Sn 0.0000 0.0000 0.5000
```

Entry 2:
A plane-wave DFT calculation with PBE-GGA was carried out for crystalline ScTaSn2 at its relaxed geometry.

Structure (CIF):
```
data_ScTaSn2
_cell_length_a 7.0564
_cell_length_b 7.0564
_cell_length_c 7.0564
_cell_angle_alpha 90.00
_cell_angle_beta 90.00
_cell_angle_gamma 90.00
_space_group_name_H-M_alt 'F -4 3 m'
_space_group_IT_number 216
_space_group_name_Hall 'F -4 2 3'
loop_
_atom_site_label
_atom_site_type_symbol
_atom_site_fract_x
_atom_site_fract_y
_atom_site_fract_z
Sc1 Sc 0.0000 0.0000 0.0000
Ta1 Ta 0.2500 0.2500 0.7500
Sn1 Sn 0.0000 0.0000 0.5000
Sn2 Sn 0.2500 0.2500 0.2500
```

Entry 3:
A plane-wave DFT calculation with PBE-GGA was carried out for crystalline TbScSn2 at its relaxed geometry.

Structure (CIF):
```
data_TbScSn2
_cell_length_a 3.2617
_cell_length_b 6.0698
_cell_length_c 12.0545
_cell_angle_alpha 90.00
_cell_angle_beta 90.00
_cell_angle_gamma 90.00
_space_group_name_H-M_alt 'A m m 2'
_space_group_IT_number 38
loop_
_space_group_symop_operation_xyz
'x,y,z'
'-x,-y,z'
'-x,y,z'
'x,-y,z'
'x,y+1/2,z+1/2'
'-x,-y+1/2,z+1/2'
'-x,y+1/2,z+1/2'
'x,-y+1/2,z+1/2'
loop_
_atom_site_label
_atom_site_type_symbol
_atom_site_fract_x
_atom_site_fract_y
_atom_site_fract_z
Tb1 Tb 0.0000 0.0000 0.0000
Sc1 Sc 0.0000 0.0000 0.7242
Sn1 Sn 0.0000 0.0000 0.2545
Sn2 Sn 0.0000 0.0000 0.4898
```

Computed final energy, in the same sequence as the records: -7.13, -6.19, -4.62 eV per atom.